No. 1
## Ho6BS12 (PBE-GGA)

Data for crystalline Ho6BS12 at its relaxed geometry.

Values from the calculation:
- total energy (eV per atom) = -5.78
- energy relative to the elements, uncorrected (eV/atom) = -1.38
- DOS at the Fermi energy (states/eV per atom) = 0.835

The structure in POSCAR format:
```
Ho6BS12
1.0
7.5803 -0.0110 -0.0132
-1.1601 7.4910 -0.0132
-1.1601 -1.3516 7.3681
Ho S B
6 12 1
direct
0.2896 0.1306 0.6292
0.8694 0.3708 0.7104
0.1306 0.6292 0.2896
0.7104 0.8694 0.3708
0.3708 0.7104 0.8694
0.6292 0.2896 0.1306
0.9478 0.0231 0.7056
0.2944 0.0522 0.9769
0.0231 0.7056 0.9478
0.8192 0.5586 0.4213
0.1808 0.4414 0.5787
0.7056 0.9478 0.0231
0.4213 0.8192 0.5586
0.0522 0.9769 0.2944
0.9769 0.2944 0.0522
0.5787 0.1808 0.4414
0.4414 0.5787 0.1808
0.5586 0.4213 0.8192
0.0000 0.0000 0.0000
```

***

No. 2
## HoB2S6 (PBE-GGA)

Data for crystalline HoB2S6 at its relaxed geometry.

Values from the calculation:
- total energy (eV per atom) = -5.30
- energy relative to the elements, uncorrected (eV/atom) = -0.56
- DOS at the Fermi energy (states/eV per atom) = 0.316

The structure in POSCAR format:
```
HoB2S6
1.0
6.1372 -0.3343 -0.3236
1.3774 7.9910 1.2500
1.3774 1.5083 7.9464
S B Ho
12 4 2
direct
0.8572 0.6413 0.7750
0.2876 0.4537 0.9274
0.1517 0.8005 0.0005
0.6517 0.0005 0.8005
0.1428 0.3587 0.2250
0.2124 0.0726 0.5463
0.3572 0.7750 0.6413
0.6428 0.2250 0.3587
0.8483 0.1995 0.9995
0.7876 0.9274 0.4537
0.7124 0.5463 0.0726
0.3483 0.9995 0.1995
0.1539 0.6852 0.8409
0.6539 0.8409 0.6852
0.3461 0.1591 0.3148
0.8461 0.3148 0.1591
0.7500 0.8618 0.1382
0.2500 0.1382 0.8618
```

***

No. 3
## Ho8BSe3S3 (PBE-GGA)

Data for crystalline Ho8BSe3S3 at its relaxed geometry.

Values from the calculation:
- total energy (eV per atom) = -5.97
- energy relative to the elements, uncorrected (eV/atom) = -1.56
- DOS at the Fermi energy (states/eV per atom) = 0.387

The structure in POSCAR format:
```
Ho8BSe3S3
1.0
7.8373 0.0000 0.0000
-3.9187 6.7876 -0.0238
0.0000 -4.5019 6.5900
Ho Se S B
8 3 3 1
direct
0.2576 0.5151 0.2727
0.7697 0.5393 0.2799
0.7424 0.4849 0.7273
0.2303 0.4607 0.7201
0.2303 0.9898 0.7201
0.7697 0.0102 0.2799
0.2405 0.0102 0.2799
0.7595 0.9898 0.7201
0.0000 0.0000 0.0000
0.0000 0.5000 0.0000
0.5000 0.5000 0.0000
0.5000 0.5000 0.5000
0.5000 0.0000 0.5000
0.0000 0.5000 0.5000
0.0000 0.0000 0.5000
```

***

No. 4
## Ho8BSe4S3 (PBE-GGA)

Data for crystalline Ho8BSe4S3 at its relaxed geometry.

Values from the calculation:
- total energy (eV per atom) = -6.07
- energy relative to the elements, uncorrected (eV/atom) = -1.72
- DOS at the Fermi energy (states/eV per atom) = 0.407

The structure in POSCAR format:
```
Ho8BSe4S3
1.0
-3.3815 -6.4771 2.9276
-2.0834 -2.2572 -7.4001
7.5509 1.5573 1.5852
Se B Ho S
4 1 8 3
direct
0.0000 0.0000 0.0000
0.5000 0.0000 0.0000
0.5000 0.0000 0.5000
0.0000 0.0000 0.5000
0.0000 0.5000 0.0000
0.2292 0.7190 0.9898
0.2394 0.2810 0.0102
0.7606 0.7190 0.9898
0.2292 0.7190 0.4584
0.2574 0.2722 0.5148
0.7426 0.7278 0.4852
0.7708 0.2810 0.0102
0.7708 0.2810 0.5416
0.0000 0.5000 0.5000
0.5000 0.5000 0.0000
0.5000 0.5000 0.5000
```

***

No. 5
## Ho4BSeS2 (PBE-GGA)

Data for crystalline Ho4BSeS2 at its relaxed geometry.

Values from the calculation:
- total energy (eV per atom) = -6.12
- energy relative to the elements, uncorrected (eV/atom) = -1.53
- DOS at the Fermi energy (states/eV per atom) = 0.206

The structure in POSCAR format:
```
Ho4BSeS2
1.0
5.5243 0.0028 0.0000
-0.0027 5.5243 0.0000
-2.7608 -2.7636 5.5543
S Se Ho B
2 1 4 1
direct
0.0000 0.0000 0.0000
0.2500 0.7500 0.5000
0.5000 0.5000 0.0000
0.2456 0.2456 0.4911
0.5182 0.0182 0.0364
0.9818 0.4818 0.9636
0.7544 0.7544 0.5089
0.7500 0.2500 0.5000
```

***

No. 6
## Ho8BSe3S4 (PBE-GGA)

Data for crystalline Ho8BSe3S4 at its relaxed geometry.

Values from the calculation:
- total energy (eV per atom) = -6.12
- energy relative to the elements, uncorrected (eV/atom) = -1.72
- DOS at the Fermi energy (states/eV per atom) = 0.372

The structure in POSCAR format:
```
Ho8BSe3S4
1.0
-6.3658 -4.7455 -0.0662
0.4272 -0.6822 7.8269
-0.3609 7.1743 -3.3825
Ho Se S B
8 3 4 1
direct
0.2433 0.2298 0.4865
0.7678 0.2582 0.9904
0.7567 0.7702 0.5135
0.2322 0.7417 0.4643
0.2322 0.7418 0.0096
0.7678 0.2583 0.5357
0.7773 0.7418 0.0096
0.2227 0.2582 0.9904
0.0000 0.5000 0.5000
0.5000 0.5000 0.5000
0.5000 0.5000 0.0000
0.0000 0.0000 0.0000
0.0000 0.0000 0.5000
0.5000 0.0000 0.5000
0.5000 0.0000 0.0000
0.0000 0.5000 0.0000
```

***

No. 7
## HoBSb (PBE-GGA)

Data for crystalline HoBSb at its relaxed geometry.

Values from the calculation:
- total energy (eV per atom) = -5.38
- energy relative to the elements, uncorrected (eV/atom) = -0.25
- DOS at the Fermi energy (states/eV per atom) = 0.490

The structure in POSCAR format:
```
HoBSb
1.0
3.9240 0.0000 0.0000
-1.9620 5.0481 0.5275
0.0000 -2.2310 6.0086
Sb Ho B
2 2 2
direct
0.6308 0.2615 0.4361
0.3692 0.7385 0.5639
0.8815 0.7630 0.1737
0.1185 0.2370 0.8263
0.4196 0.8391 0.9266
0.5804 0.1609 0.0734
```

***

No. 8
## Ho4BSb2 (PBE-GGA)

Data for crystalline Ho4BSb2 at its relaxed geometry.

Values from the calculation:
- total energy (eV per atom) = -5.45
- energy relative to the elements, uncorrected (eV/atom) = -0.71
- DOS at the Fermi energy (states/eV per atom) = 0.551

The structure in POSCAR format:
```
Ho4BSb2
1.0
4.8636 0.0000 0.0000
0.0000 4.8636 0.0000
2.4318 2.4318 7.8528
Ho Sb B
4 2 1
direct
0.5000 0.0000 0.0000
0.8389 0.8389 0.3223
0.1611 0.1611 0.6777
0.0000 0.5000 0.0000
0.3597 0.3597 0.2806
0.6403 0.6403 0.7194
0.0000 0.0000 0.0000
```

***

No. 9
## HoScB4 (PBE-GGA)

Data for crystalline HoScB4 at its relaxed geometry.

Values from the calculation:
- total energy (eV per atom) = -6.83
- ΔH_f (0 K) (eV/atom) = -0.557
- DOS at the Fermi energy (states/eV per atom) = 0.341

The structure in POSCAR format:
```
HoScB4
1.0
-0.3376 -1.0861 3.5638
3.9067 -4.5748 -1.0241
9.0748 7.0745 3.0157
B Ho Sc
16 4 4
direct
0.5000 0.7021 0.6882
0.5000 0.8719 0.0291
0.5000 0.1150 0.5480
0.5000 0.9767 0.3050
0.5000 0.2979 0.3118
0.5000 0.2021 0.8118
0.5000 0.8850 0.4520
0.5000 0.5233 0.8050
0.5000 0.6150 0.9520
0.5000 0.0233 0.6950
0.5000 0.3850 0.0480
0.5000 0.4767 0.1950
0.5000 0.1281 0.9709
0.5000 0.6281 0.5291
0.5000 0.7979 0.1882
0.5000 0.3719 0.4709
0.0000 0.8652 0.8475
0.0000 0.3652 0.6525
0.0000 0.6348 0.3475
0.0000 0.1348 0.1525
0.0000 0.8598 0.5880
0.0000 0.3598 0.9120
0.0000 0.1402 0.4120
0.0000 0.6402 0.0880
```

***

No. 10
## HoScB12 (PBE-GGA)

Data for crystalline HoScB12 at its relaxed geometry.

Values from the calculation:
- total energy (eV per atom) = -6.80
- ΔH_f (0 K) (eV/atom) = -0.296
- DOS at the Fermi energy (states/eV per atom) = 0.142

The structure in POSCAR format:
```
HoScB12
1.0
-2.4154 -1.4490 -2.9550
3.0922 -2.2541 -1.4223
-2.2532 -6.1589 4.8619
Ho Sc B
1 1 12
direct
0.0000 0.0000 0.5000
0.0000 0.0000 0.0000
0.1988 0.5000 0.7506
0.5000 0.5000 0.9009
0.5000 0.8012 0.7506
0.5000 0.8012 0.2494
0.5000 0.1988 0.2494
0.5000 0.1988 0.7506
0.1988 0.5000 0.2494
0.8012 0.5000 0.7506
0.5000 0.5000 0.4003
0.8012 0.5000 0.2494
0.5000 0.5000 0.5997
0.5000 0.5000 0.0991
```

***

No. 11
## Ho4BSe3 (PBE-GGA)

Data for crystalline Ho4BSe3 at its relaxed geometry.

Values from the calculation:
- total energy (eV per atom) = -5.88
- energy relative to the elements, uncorrected (eV/atom) = -1.45
- DOS at the Fermi energy (states/eV per atom) = 0.219

The structure in POSCAR format:
```
Ho4BSe3
1.0
3.9551 0.0000 0.0000
0.0000 6.6079 -2.2275
0.0000 -0.0306 6.9731
Ho Se B
4 3 1
direct
0.5000 0.7721 0.2279
0.0000 0.2185 0.2185
0.5000 0.2279 0.7721
0.0000 0.7815 0.7815
0.0000 0.5000 0.0000
0.0000 0.0000 0.5000
0.5000 0.5000 0.5000
0.5000 0.0000 0.0000
```

***

No. 12
## Ho3BSe2 (PBE-GGA)

Data for crystalline Ho3BSe2 at its relaxed geometry.

Values from the calculation:
- total energy (eV per atom) = -5.89
- energy relative to the elements, uncorrected (eV/atom) = -1.32
- DOS at the Fermi energy (states/eV per atom) = 0.447

The structure in POSCAR format:
```
Ho3BSe2
1.0
6.8055 0.0573 -1.2670
-2.5797 6.2979 -1.2670
-0.0490 -0.0737 12.4932
Ho B Se
12 4 8
direct
0.9417 0.9095 0.3204
0.3787 0.4109 0.3204
0.5891 0.6213 0.6796
0.2148 0.2148 0.0000
0.8713 0.3391 0.1796
0.7852 0.7852 0.0000
0.1595 0.6917 0.8204
0.0352 0.5352 0.5000
0.6609 0.1287 0.8204
0.4648 0.9648 0.5000
0.0905 0.0583 0.6796
0.3083 0.8405 0.1796
0.3338 0.8338 0.6675
0.1662 0.6662 0.3325
0.9162 0.9162 0.8325
0.0838 0.0838 0.1675
0.7462 0.7462 0.4925
0.4206 0.4206 0.8411
0.6706 0.1706 0.3411
0.5038 0.0038 0.0075
0.9962 0.4962 0.9925
0.8294 0.3294 0.6589
0.5794 0.5794 0.1589
0.2538 0.2538 0.5075
```

***

No. 13
## HoBSe3 (PBE-GGA)

Data for crystalline HoBSe3 at its relaxed geometry.

Values from the calculation:
- total energy (eV per atom) = -5.26
- energy relative to the elements, uncorrected (eV/atom) = -0.92

The structure in POSCAR format:
```
HoBSe3
1.0
-0.6673 -2.9400 -5.8729
-5.3102 -4.4045 2.8083
-6.2741 6.3266 -1.9412
Se Ho B
12 4 4
direct
0.6722 0.8121 0.4461
0.1350 0.6944 0.5672
0.3278 0.1879 0.5539
0.1348 0.9892 0.2396
0.3652 0.4892 0.2604
0.8278 0.3121 0.0539
0.3650 0.1944 0.9328
0.1722 0.6879 0.9461
0.8652 0.0108 0.7604
0.6348 0.5108 0.7396
0.6350 0.8056 0.0672
0.8650 0.3056 0.4328
0.9584 0.6287 0.2530
0.5416 0.1287 0.2470
0.4584 0.8713 0.7530
0.0416 0.3713 0.7470
0.8953 0.8500 0.5935
0.6047 0.3500 0.9065
0.3953 0.6500 0.0935
0.1047 0.1500 0.4065
```

***

No. 14
## HoBSe2 (PBE-GGA)

Data for crystalline HoBSe2 at its relaxed geometry.

Values from the calculation:
- total energy (eV per atom) = -4.34
- energy relative to the elements, uncorrected (eV/atom) = 0.22
- DOS at the Fermi energy (states/eV per atom) = 0.723

The structure in POSCAR format:
```
HoBSe2
1.0
3.4307 0.0000 0.0000
1.7153 2.9711 0.0000
1.7153 0.9904 8.1388
Se B Ho
2 1 1
direct
0.8849 0.8849 0.3453
0.1151 0.1151 0.6547
0.5000 0.5000 0.5000
0.0000 0.0000 0.0000
```

***

No. 15
## Ho5BSe4 (PBE-GGA)

Data for crystalline Ho5BSe4 at its relaxed geometry.

Values from the calculation:
- total energy (eV per atom) = -5.87
- energy relative to the elements, uncorrected (eV/atom) = -1.52
- DOS at the Fermi energy (states/eV per atom) = 0.316

The structure in POSCAR format:
```
Ho5BSe4
1.0
-5.0543 1.8331 -1.7664
-4.6973 0.7003 5.1021
-0.6559 6.9395 0.0129
Ho Se B
5 4 1
direct
0.2692 0.8233 0.6403
0.5012 0.0000 0.0000
0.0926 0.6403 0.1767
0.9095 0.3597 0.8233
0.7329 0.1767 0.3597
0.8058 0.7879 0.6026
0.1963 0.2121 0.3974
0.5937 0.6026 0.2121
0.4084 0.3974 0.7879
0.0009 0.0000 0.0000
```

***

No. 16
## HoSiB (PBE-GGA)

Data for crystalline HoSiB at its relaxed geometry.

Values from the calculation:
- total energy (eV per atom) = -5.59
- ΔE to the lowest computed polymorph (eV per atom) = 0.6347
- energy relative to the elements, uncorrected (eV/atom) = -0.03
- DOS at the Fermi energy (states/eV per atom) = 0.717

The structure in POSCAR format:
```
HoSiB
1.0
-2.8623 -0.5577 -4.7689
5.5062 -0.9596 0.0834
-1.7440 -9.8165 2.1948
Si Ho B
6 6 6
direct
0.5000 0.0000 0.9607
0.5000 0.0000 0.3727
0.5000 0.5000 0.7060
0.0000 0.5000 0.0393
0.0000 0.5000 0.6273
0.5000 0.5000 0.2940
0.0000 0.0000 0.8333
0.5000 0.0000 0.6667
0.5000 0.5000 0.0000
0.0000 0.5000 0.3333
0.0000 0.0000 0.1667
0.0000 0.0000 0.5000
0.5896 0.4104 0.5000
0.4104 0.5896 0.5000
0.4104 0.8207 0.1667
0.5896 0.1793 0.1667
0.1793 0.5896 0.8333
0.8207 0.4104 0.8333
```

***

No. 17
## HoSiB (PBE-GGA)

Data for crystalline HoSiB at its relaxed geometry.

Values from the calculation:
- total energy (eV per atom) = -5.83
- ΔE to the lowest computed polymorph (eV per atom) = 0.3968
- energy relative to the elements, uncorrected (eV/atom) = -0.27
- DOS at the Fermi energy (states/eV per atom) = 0.418

The structure in POSCAR format:
```
HoSiB
1.0
3.2701 0.0002 0.0018
0.0004 3.8032 -0.0016
1.6384 1.8995 7.6466
Ho Si B
2 2 2
direct
0.7067 0.0728 0.2466
0.9241 0.2908 0.8105
0.5214 0.8880 0.6153
0.3007 0.6663 0.0592
0.5932 0.4598 0.4722
0.1507 0.5171 0.3577
```

***

No. 18
## HoSiB (PBE-GGA)

Data for crystalline HoSiB at its relaxed geometry.

Values from the calculation:
- total energy (eV per atom) = -6.22
- ΔE to the lowest computed polymorph (eV per atom) = 0.0000
- energy relative to the elements, uncorrected (eV/atom) = -0.66
- DOS at the Fermi energy (states/eV per atom) = 0.161

The structure in POSCAR format:
```
HoSiB
1.0
4.0942 0.0000 0.0000
0.0000 3.5475 0.0000
0.0000 -1.7737 3.0722
B Ho Si
1 1 1
direct
0.1672 0.6667 0.3333
0.6665 0.3333 0.6667
0.1663 0.0000 0.0000
```

***

No. 19
## Ho5Si3B (PBE-GGA)

Data for crystalline Ho5Si3B at its relaxed geometry.

Values from the calculation:
- total energy (eV per atom) = -5.64
- energy relative to the elements, uncorrected (eV/atom) = -0.54
- DOS at the Fermi energy (states/eV per atom) = 0.863

The structure in POSCAR format:
```
Ho5Si3B
1.0
-4.3045 6.7301 2.9005
-2.6201 -4.0188 -7.0157
-3.5875 -3.8135 3.5243
Ho B Si
10 2 6
direct
0.3333 0.6667 0.5000
0.2396 0.0000 0.2500
0.0000 0.7604 0.7500
0.6667 0.3333 0.5000
0.7604 0.7604 0.2500
0.3333 0.6667 0.0000
0.0000 0.2396 0.2500
0.2396 0.2396 0.7500
0.6667 0.3333 0.0000
0.7604 0.0000 0.7500
0.0000 0.0000 0.5000
0.0000 0.0000 0.0000
0.3992 0.3992 0.2500
0.6008 0.0000 0.2500
0.0000 0.6008 0.2500
0.0000 0.3992 0.7500
0.6008 0.6008 0.7500
0.3992 0.0000 0.7500
```

***

No. 20
## HoSiB (PBE-GGA)

Data for crystalline HoSiB at its relaxed geometry.

Values from the calculation:
- total energy (eV per atom) = -6.12
- ΔE to the lowest computed polymorph (eV per atom) = 0.1068
- energy relative to the elements, uncorrected (eV/atom) = -0.56
- DOS at the Fermi energy (states/eV per atom) = 0.115

The structure in POSCAR format:
```
HoSiB
1.0
-2.3070 2.2972 2.3565
-0.8011 -2.8283 1.9728
6.4514 1.4291 1.4922
Ho Si B
2 2 2
direct
0.6148 0.8644 0.7288
0.3852 0.1356 0.2712
0.1996 0.4497 0.8994
0.8004 0.5503 0.1006
0.9670 0.7171 0.4342
0.0330 0.2829 0.5658
```